1.
Crystalline La2HgPPd at its relaxed geometry. Source: Alexandria, functional PBE.

a b c (Å): 5.639 5.639 4.506
angles (deg): 90.00 90.00 90.00
Space group P4/mmm (No. 123)
One atom of each set of equivalent atoms:
La 0.000 0.500 0.000 [2 per cell]
Hg 0.000 0.000 0.500 [1 per cell]
P 0.500 0.500 0.000 [1 per cell]
Pd 0.500 0.500 0.500 [1 per cell]

Computed properties:
magnetic moment = 0.00 Bohr magnetons per cell
uncorrected energy = -24.277 eV for the cell shown
energy relative to the elements = -0.7035 eV per atom

2.
Crystalline CsTi at its relaxed geometry. Source: Alexandria, functional PBE.

a b c (Å): 6.424 6.424 6.424
angles (deg): 90.00 90.00 90.00
Space group F-43m (No. 216)
One atom of each set of equivalent atoms:
Cs 0.000 0.000 0.000 [4 per cell]
Ti 0.250 0.250 0.250 [4 per cell]

Computed properties:
offset from the most stable computed form = 1731 meV/atom
magnetic moment = 4.05 Bohr magnetons per cell
uncorrected energy = -14.336 eV for the cell shown
energy relative to the elements = 2.5822 eV per atom